Record 1
RbGa2S: relaxed, PBE.

Values from the calculation:
* density: 3.8 g/cm³
* SG: I-42d
* E_form (uncorrected): -211 meV per atom
* magnetic moment: 0.0 μB per formula unit

a b c (Å): 8.3767 8.3767 6.7428
angles (deg): 51.60 51.60 90.00
Element x y z (fractional)
Ga 0.3750 0.4415 0.7500
Ga 0.5585 0.1250 0.2500
Ga 0.1915 0.6250 0.2500
Ga 0.8750 0.8085 0.7500
S 0.2500 0.7500 0.5000
S 0.5000 0.5000 0.0000
Rb 0.0000 0.0000 0.0000
Rb 0.7500 0.2500 0.5000

Record 2
Rb2Sc2GaS6: relaxed, PBE.

Values from the calculation:
* density: 3.1 g/cm³
* SG: C2/m
* E_form (uncorrected): -1286 meV per atom
* magnetic moment: 0.0 μB per formula unit

a b c (Å): 6.4175 6.4175 8.2267
angles (deg): 97.69 97.69 119.97
Element x y z (fractional)
S 0.3875 0.0634 0.6798
S 0.7382 0.7382 0.6773
S 0.9366 0.6125 0.3202
S 0.6125 0.9366 0.3202
S 0.0634 0.3875 0.6798
S 0.2618 0.2618 0.3227
Ga 0.0000 0.0000 0.5000
Sc 0.6675 0.3325 0.5000
Sc 0.3325 0.6675 0.5000
Rb 0.1684 0.8316 0.0000
Rb 0.8316 0.1684 0.0000

Record 3
Rb2GaSiS: relaxed, PBE.

Values from the calculation:
* density: 2.6 g/cm³
* SG: P4/mmm
* E_form (uncorrected): 121 meV per atom
* magnetic moment: 0.5 μB per formula unit

a b c (Å): 6.4019 4.6257 6.4019
angles (deg): 90.00 90.00 90.00
Element x y z (fractional)
Rb 0.5000 0.0000 0.0000
Rb 0.0000 0.0000 0.5000
Ga 0.5000 0.5000 0.5000
Si 0.0000 0.5000 0.0000
S 0.0000 0.0000 0.0000

Record 4
Rb2SmGaS4: relaxed, PBE.

Values from the calculation:
* density: 3.8 g/cm³
* SG: C2/c
* E_form (uncorrected): -1159 meV per atom
* magnetic moment: 0.0 μB per formula unit

a b c (Å): 8.3828 8.3828 8.5163
angles (deg): 117.21 117.21 92.60
Element x y z (fractional)
Sm 0.0000 0.5000 0.0000
Sm 0.0000 0.5000 0.5000
S 0.7020 0.6805 0.4915
S 0.8195 0.7979 0.0085
S 0.2285 0.6924 0.4447
S 0.8076 0.2715 0.0553
S 0.1805 0.2021 0.9915
S 0.1924 0.7285 0.9447
S 0.7715 0.3076 0.5553
S 0.2980 0.3195 0.5085
Rb 0.5000 0.5000 0.0000
Rb 0.5000 0.0000 0.5000
Rb 0.5000 0.0000 0.0000
Rb 0.0000 0.0000 0.5000
Ga 0.5000 0.5000 0.5000
Ga 0.0000 0.0000 0.0000

Record 5
RbSr2GaS: relaxed, PBE.

Values from the calculation:
* density: 2.8 g/cm³
* SG: P4/mmm
* E_form (uncorrected): -77 meV per atom
* magnetic moment: 0.0 μB per formula unit

a b c (Å): 6.0682 5.7628 6.0682
angles (deg): 90.00 90.00 90.00
Element x y z (fractional)
Rb 0.5000 0.5000 0.5000
Sr 0.5000 0.0000 0.0000
Sr 0.0000 0.0000 0.5000
S 0.0000 0.5000 0.0000
Ga 0.0000 0.0000 0.0000

Record 6
RbTa2GaS: relaxed, PBE.

Values from the calculation:
* density: 7.1 g/cm³
* SG: P4/mmm
* E_form (uncorrected): 792 meV per atom
* magnetic moment: 1.3 μB per formula unit

a b c (Å): 4.6528 5.8987 4.6528
angles (deg): 90.00 90.00 90.00
Element x y z (fractional)
Ta 0.5000 0.0000 0.0000
Ta 0.0000 0.0000 0.5000
Rb 0.0000 0.5000 0.0000
S 0.0000 0.0000 0.0000
Ga 0.5000 0.5000 0.5000